Computed, not measured: a relaxed InTc crystal at the PBE level of DFT.

Formation enthalpy at 0 K in kJ/mol of atoms: 22.5
Size of the total moment in μB/f.u.: 0.00
Symmetry: No. 166
VASP energy in eV per atom: -6.32

Cell and atoms, written as CIF:
```
data_InTc
_cell_length_a 5.305
_cell_length_b 5.305
_cell_length_c 5.305
_cell_angle_alpha 48.76
_cell_angle_beta 48.76
_cell_angle_gamma 48.76
_space_group_name_H-M_alt 'P 1'
_space_group_IT_number 1
loop_
_space_group_symop_operation_xyz
'x,y,z'
loop_
_atom_site_label
_atom_site_type_symbol
_atom_site_fract_x
_atom_site_fract_y
_atom_site_fract_z
In1 In 0.112 0.112 0.112
In2 In 0.888 0.888 0.888
Tc1 Tc 0.321 0.321 0.321
Tc2 Tc 0.679 0.679 0.679
```